CdTc3O | PBE | relaxed

Unit cell a=5.1266 b=5.1266 c=5.1266 alpha=90.00 beta=90.00 gamma=90.00
Last column: nearest neighbours and their distance in Å.
Space group Pm-3m (No. 221)
Unique sites:
Cd 0.0000 0.0000 0.0000  6 Tc 2.56
Tc 0.0000 0.0000 0.5000  2 Cd 2.56
O 0.5000 0.5000 0.5000  12 Tc 3.63

Output
For the magnetic moment, the calculation gives 11.9 μB/f.u. For the total energy, the calculation gives -22.57 eV/f.u. The formation energy without anion corrections comes out at 1389.8 kJ/mol of formula units. The polymorph energy (0 for the lowest one) comes out at 2.700 eV/atom. The volume comes out at 134.7 Å³ per cell.